Entry 1:
The following is a DFT calculation (PBE) of an optimized crystal structure of EuCdRh.

Results
Energy above the lowest structure with this stoichiometry   0.000 eV/atom

The structure in CIF format:
```
data_EuCdRh
_chemical_formula_sum 'Eu1 Cd1 Rh1'
_cell_length_a 4.7202
_cell_length_b 4.7202
_cell_length_c 3.6416
_cell_angle_alpha 90.00
_cell_angle_beta 90.00
_cell_angle_gamma 120.00
_symmetry_space_group_name_H-M 'P -6 m 2'
_symmetry_Int_Tables_number 187
_symmetry_space_group_name_Hall 'P -6 2'
loop_
_atom_site_label
_atom_site_type_symbol
_atom_site_fract_x
_atom_site_fract_y
_atom_site_fract_z
_atom_site_occupancy
Eu1 Eu 0.0000 0.0000 0.0000 1
Cd1 Cd 0.6667 0.3333 0.5000 1
Rh1 Rh 0.3333 0.6667 0.5000 1
```

---

Entry 2:
The following is a DFT calculation (PBE) of an optimized crystal structure of EuCdRh.

Results
Energy above the lowest structure with this stoichiometry   0.034 eV/atom

The structure in CIF format:
```
data_EuCdRh
_chemical_formula_sum 'Eu4 Cd4 Rh4'
_cell_length_a 6.731
_cell_length_b 6.731
_cell_length_c 6.731
_cell_angle_alpha 90.00
_cell_angle_beta 90.00
_cell_angle_gamma 90.00
_symmetry_space_group_name_H-M 'F -4 3 m'
_symmetry_Int_Tables_number 216
_symmetry_space_group_name_Hall 'F -4 2 3'
loop_
_atom_site_label
_atom_site_type_symbol
_atom_site_fract_x
_atom_site_fract_y
_atom_site_fract_z
_atom_site_occupancy
Eu1 Eu 0.000 0.000 0.000 1
Cd1 Cd 0.000 0.000 0.500 1
Rh1 Rh 0.250 0.250 0.250 1
```

---

Entry 3:
The following is a DFT calculation (PBE) of an optimized crystal structure of EuCd4Rh.

The structure in CIF format:
```
data_EuCd4Rh
_chemical_formula_sum 'Eu4 Cd16 Rh4'
_cell_length_a 8.078
_cell_length_b 8.078
_cell_length_c 8.078
_cell_angle_alpha 90.00
_cell_angle_beta 90.00
_cell_angle_gamma 90.00
_symmetry_space_group_name_H-M 'F -4 3 m'
_symmetry_Int_Tables_number 216
_symmetry_space_group_name_Hall 'F -4 2 3'
loop_
_atom_site_label
_atom_site_type_symbol
_atom_site_fract_x
_atom_site_fract_y
_atom_site_fract_z
_atom_site_occupancy
Eu1 Eu 0.000 0.000 0.000 1
Cd1 Cd 0.124 0.124 0.624 1
Rh1 Rh 0.250 0.250 0.250 1
```

---

Entry 4:
The following is a DFT calculation (PBE) of an optimized crystal structure of EuCd2Rh.

The structure in CIF format:
```
data_EuCd2Rh
_chemical_formula_sum 'Eu4 Cd8 Rh4'
_cell_length_a 7.065
_cell_length_b 7.065
_cell_length_c 7.065
_cell_angle_alpha 90.00
_cell_angle_beta 90.00
_cell_angle_gamma 90.00
_symmetry_space_group_name_H-M 'F m -3 m'
_symmetry_Int_Tables_number 225
_symmetry_space_group_name_Hall '-F 4 2 3'
loop_
_atom_site_label
_atom_site_type_symbol
_atom_site_fract_x
_atom_site_fract_y
_atom_site_fract_z
_atom_site_occupancy
Eu1 Eu 0.000 0.000 0.000 1
Cd1 Cd 0.250 0.250 0.250 1
Rh1 Rh 0.000 0.000 0.500 1
```

---

Entry 5:
The following is a DFT calculation (PBE) of an optimized crystal structure of EuCd2Rh.

The structure in CIF format:
```
data_EuCd2Rh
_chemical_formula_sum 'Eu1 Cd2 Rh1'
_cell_length_a 4.196
_cell_length_b 4.196
_cell_length_c 5.019
_cell_angle_alpha 90.00
_cell_angle_beta 90.00
_cell_angle_gamma 90.00
_symmetry_space_group_name_H-M 'P 4/m m m'
_symmetry_Int_Tables_number 123
_symmetry_space_group_name_Hall '-P 4 2'
loop_
_atom_site_label
_atom_site_type_symbol
_atom_site_fract_x
_atom_site_fract_y
_atom_site_fract_z
_atom_site_occupancy
Eu1 Eu 0.000 0.000 0.000 1
Cd1 Cd 0.000 0.500 0.500 1
Rh1 Rh 0.500 0.500 0.000 1
```

---

Entry 6:
The following is a DFT calculation (PBE) of an optimized crystal structure of SrEuCdRh.

The structure in CIF format:
```
data_SrEuCdRh
_chemical_formula_sum 'Sr4 Eu4 Cd4 Rh4'
_cell_length_a 7.513
_cell_length_b 7.513
_cell_length_c 7.513
_cell_angle_alpha 90.00
_cell_angle_beta 90.00
_cell_angle_gamma 90.00
_symmetry_space_group_name_H-M 'F -4 3 m'
_symmetry_Int_Tables_number 216
_symmetry_space_group_name_Hall 'F -4 2 3'
loop_
_atom_site_label
_atom_site_type_symbol
_atom_site_fract_x
_atom_site_fract_y
_atom_site_fract_z
_atom_site_occupancy
Sr1 Sr 0.000 0.000 0.000 1
Eu1 Eu 0.000 0.000 0.500 1
Cd1 Cd 0.250 0.250 0.250 1
Rh1 Rh 0.250 0.250 0.750 1
```

---

Number 1: ΔE_f -0.27 eV per atom. Number 2: ΔE_f -0.24 eV per atom. Number 3: ΔE_f -0.10 eV per atom. Number 4: ΔE_f -0.13 eV per atom. Number 5: ΔE_f -0.16 eV per atom. Number 6: ΔE_f -0.23 eV per atom.